1.
# ZnAg2Hg

Crystalline ZnAg2Hg at its relaxed geometry (PBEsol, the Alexandria database).

As for the excess energy over the best structure of this formula in the dataset: 0.05 eV per formula unit. The calculation puts the total energy at -2.193 eV per atom. The calculation puts the size of the total moment at 0.000 μB per formula unit.

The structure belongs to space group C2/m (No. 12); the cell edges are 9.565, 2.968 and 4.943 Å and the angles 90.00°, 104.63° and 90.00°. Symmetry generates all atoms from Zn at (0.000, 0.000, 0.000), Ag at (0.237, 0.500, 0.237) and Hg at (0.000, 0.500, 0.500).


2.
# ZnAg2Hg

Crystalline ZnAg2Hg at its relaxed geometry (PBEsol, the Alexandria database).

As for the excess energy over the best structure of this formula in the dataset: 0.10 eV per formula unit. The calculation puts the total energy at -2.181 eV per atom. The calculation puts the size of the total moment at 0.000 μB per formula unit.

The structure belongs to space group Pmm2 (No. 25); the cell edges are 3.000, 3.775 and 6.007 Å and the angles 90.00°, 90.00° and 90.00°. Symmetry generates all atoms from Zn at (0.000, 0.000, 0.000), Ag at (0.000, 0.000, 0.465), Ag at (0.500, 0.500, 0.215) and Hg at (0.500, 0.500, 0.733).


3.
# ZnAg2Hg

Crystalline ZnAg2Hg at its relaxed geometry (PBEsol, the Alexandria database).

As for the excess energy over the best structure of this formula in the dataset: 0.05 eV per formula unit. The calculation puts the total energy at -2.193 eV per atom. The calculation puts the size of the total moment at 0.000 μB per formula unit.

The structure belongs to space group Imm2 (No. 44); the cell edges are 3.886, 4.148 and 8.413 Å and the angles 90.00°, 90.00° and 90.00°. Symmetry generates all atoms from Zn at (0.000, 0.000, 0.000), Ag at (0.000, 0.000, 0.497), Ag at (0.000, 0.500, 0.741) and Hg at (0.000, 0.500, 0.253).


4.
# ZnAg2Hg

Crystalline ZnAg2Hg at its relaxed geometry (PBEsol, the Alexandria database).

As for the excess energy over the best structure of this formula in the dataset: 0.08 eV per formula unit. The calculation puts the total energy at -2.185 eV per atom. The calculation puts the size of the total moment at 0.000 μB per formula unit.

The structure belongs to space group Pm (No. 6); the cell edges are 2.931, 4.174 and 5.789 Å and the angles 90.00°, 104.05° and 90.00°. Symmetry generates all atoms from Zn at (0.000, 0.000, 0.000), Ag at (0.220, 0.000, 0.464), Ag at (0.586, 0.500, 0.187) and Hg at (0.836, 0.500, 0.705).


5.
# ZnAg2Hg

Crystalline ZnAg2Hg at its relaxed geometry (PBEsol, the Alexandria database).

As for the excess energy over the best structure of this formula in the dataset: 0.00 eV per formula unit. The calculation puts the total energy at -2.205 eV per atom. The calculation puts the size of the total moment at 0.000 μB per formula unit.

The structure belongs to space group P4/mmm (No. 123); the cell edges are 3.023, 3.023 and 7.373 Å and the angles 90.00°, 90.00° and 90.00°. Symmetry generates all atoms from Zn at (0.000, 0.000, 0.000), Ag at (0.500, 0.500, 0.222) and Hg at (0.000, 0.000, 0.500).


6.
# ZnAg2Hg

Crystalline ZnAg2Hg at its relaxed geometry (PBEsol, the Alexandria database).

As for the excess energy over the best structure of this formula in the dataset: 0.07 eV per formula unit. The calculation puts the total energy at -2.188 eV per atom. The calculation puts the size of the total moment at 0.000 μB per formula unit.

The structure belongs to space group Immm (No. 71); the cell edges are 3.242, 4.578 and 9.098 Å and the angles 90.00°, 90.00° and 90.00°. Symmetry generates all atoms from Zn at (0.000, 0.000, 0.000), Ag at (0.000, 0.500, 0.267) and Hg at (0.000, 0.000, 0.500).


7.
# ZnAg2Hg

Crystalline ZnAg2Hg at its relaxed geometry (PBEsol, the Alexandria database).

As for the excess energy over the best structure of this formula in the dataset: 0.15 eV per formula unit. The calculation puts the total energy at -2.167 eV per atom. The calculation puts the size of the total moment at 0.000 μB per formula unit.

The structure belongs to space group Pmmm (No. 47); the cell edges are 3.363, 4.494 and 4.502 Å and the angles 90.00°, 90.00° and 90.00°. Symmetry generates all atoms from Zn at (0.000, 0.000, 0.000), Ag at (0.000, 0.500, 0.500), Ag at (0.500, 0.000, 0.500) and Hg at (0.500, 0.500, 0.000).


8.
# ZnAg2Hg

Crystalline ZnAg2Hg at its relaxed geometry (PBEsol, the Alexandria database).

As for the excess energy over the best structure of this formula in the dataset: 0.05 eV per formula unit. The calculation puts the total energy at -2.194 eV per atom. The calculation puts the size of the total moment at 0.000 μB per formula unit.

The structure belongs to space group I-4m2 (No. 119); the cell edges are 4.025, 4.025 and 8.381 Å and the angles 90.00°, 90.00° and 90.00°. Symmetry generates all atoms from Zn at (0.000, 0.000, 0.000), Ag at (0.000, 0.000, 0.500), Ag at (0.000, 0.500, 0.250) and Hg at (0.000, 0.500, 0.750).


9.
# Zn2Ag2Hg

Crystalline Zn2Ag2Hg at its relaxed geometry (PBEsol, the Alexandria database).

As for the excess energy over the best structure of this formula in the dataset: 0.17 eV per formula unit. The calculation puts the total energy at -2.013 eV per atom. The calculation puts the size of the total moment at 0.000 μB per formula unit.

The structure belongs to space group I4/mmm (No. 139); the cell edges are 3.589, 3.589 and 13.540 Å and the angles 90.00°, 90.00° and 90.00°. Symmetry generates all atoms from Zn at (0.000, 0.500, 0.250), Ag at (0.000, 0.000, 0.104) and Hg at (0.000, 0.000, 0.500).


10.
# ZnAg2Hg

Crystalline ZnAg2Hg at its relaxed geometry (PBEsol, the Alexandria database).

As for the excess energy over the best structure of this formula in the dataset: 0.08 eV per formula unit. The calculation puts the total energy at -2.186 eV per atom. The calculation puts the size of the total moment at 0.000 μB per formula unit.

The structure belongs to space group R-3m (No. 166, hexagonal axes); the cell edges are 2.9458, 2.9458 and 27.3345 Å and the angles 90.00°, 90.00° and 120.00°. Symmetry generates all atoms from Zn at (0.0000, 0.0000, 0.0000), Ag at (0.0000, 0.0000, 0.2568) and Hg at (0.0000, 0.0000, 0.5000).


11.
# ZnAg2Hg

Crystalline ZnAg2Hg at its relaxed geometry (PBEsol, the Alexandria database).

As for the excess energy over the best structure of this formula in the dataset: 0.11 eV per formula unit. The calculation puts the total energy at -2.178 eV per atom. The calculation puts the size of the total moment at 0.000 μB per formula unit.

The structure belongs to space group Cm (No. 8); the cell edges are 9.677, 2.917 and 4.943 Å and the angles 90.00°, 102.78° and 90.00°. Symmetry generates all atoms from Zn at (0.000, 0.000, 0.000), Ag at (0.007, 0.500, 0.521), Ag at (0.264, 0.000, 0.767) and Hg at (0.245, 0.500, 0.256).


12.
# ZnAg2Hg

Crystalline ZnAg2Hg at its relaxed geometry (PBEsol, the Alexandria database).

As for the excess energy over the best structure of this formula in the dataset: 0.12 eV per formula unit. The calculation puts the total energy at -2.176 eV per atom. The calculation puts the size of the total moment at 0.000 μB per formula unit.

The structure belongs to space group P2/m (No. 10); the cell edges are 2.887, 4.265 and 5.626 Å and the angles 90.00°, 101.16° and 90.00°. Symmetry generates all atoms from Zn at (0.000, 0.000, 0.000), Ag at (0.412, 0.500, 0.234) and Hg at (0.000, 0.000, 0.500).


13.
# ZnAgHg3

Crystalline ZnAgHg3 at its relaxed geometry (PBEsol, the Alexandria database).

The calculation puts the total energy at -0.919 eV per atom. The calculation puts the size of the total moment at 0.000 μB per formula unit.

The structure belongs to space group Pm-3m (No. 221); the cell edges are 4.997, 4.997 and 4.997 Å and the angles 90.00°, 90.00° and 90.00°. Symmetry generates all atoms from Zn at (0.000, 0.000, 0.000), Ag at (0.500, 0.500, 0.500) and Hg at (0.000, 0.000, 0.500).


14.
# Zn2Ag2Hg

Crystalline Zn2Ag2Hg at its relaxed geometry (PBEsol, the Alexandria database).

As for the excess energy over the best structure of this formula in the dataset: 0.00 eV per formula unit. The calculation puts the total energy at -2.048 eV per atom. The calculation puts the size of the total moment at 0.000 μB per formula unit.

The structure belongs to space group P4/mbm (No. 127); the cell edges are 7.467, 7.467 and 3.018 Å and the angles 90.00°, 90.00° and 90.00°. Symmetry generates all atoms from Zn at (0.161, 0.339, 0.000), Ag at (0.137, 0.637, 0.500) and Hg at (0.000, 0.000, 0.500).


15.
# ZnAg2Hg

Crystalline ZnAg2Hg at its relaxed geometry (PBEsol, the Alexandria database).

As for the excess energy over the best structure of this formula in the dataset: 0.09 eV per formula unit. The calculation puts the total energy at -2.182 eV per atom. The calculation puts the size of the total moment at 0.000 μB per formula unit.

The structure belongs to space group P4mm (No. 99); the cell edges are 3.035, 3.035 and 7.368 Å and the angles 90.00°, 90.00° and 90.00°. Symmetry generates all atoms from Zn at (0.000, 0.000, 0.000), Ag at (0.000, 0.000, 0.471), Ag at (0.500, 0.500, 0.218) and Hg at (0.500, 0.500, 0.743).


16.
# Zr2AgHg

Crystalline Zr2AgHg at its relaxed geometry (PBEsol, the Alexandria database).

The calculation puts the total energy at -5.690 eV per atom. The calculation puts the size of the total moment at 0.001 μB per formula unit.

The structure belongs to space group Pmmm (No. 47); the cell edges are 3.060, 4.275 and 6.004 Å and the angles 90.00°, 90.00° and 90.00°. Symmetry generates all atoms from Zr at (0.000, 0.000, 0.248), Ag at (0.500, 0.500, 0.000) and Hg at (0.500, 0.500, 0.500).


17.
# ZrAgHg2

Crystalline ZrAgHg2 at its relaxed geometry (PBEsol, the Alexandria database).

The calculation puts the total energy at -3.477 eV per atom. The calculation puts the size of the total moment at 0.000 μB per formula unit.

The structure belongs to space group P4/mmm (No. 123); the cell edges are 4.641, 4.641 and 3.709 Å and the angles 90.00°, 90.00° and 90.00°. Symmetry generates all atoms from Zr at (0.000, 0.000, 0.000), Ag at (0.500, 0.500, 0.000) and Hg at (0.000, 0.500, 0.500).


18.
# Zr2AgHg

Crystalline Zr2AgHg at its relaxed geometry (PBEsol, the Alexandria database).

The calculation puts the total energy at -5.691 eV per atom. The calculation puts the size of the total moment at 0.001 μB per formula unit.

The structure belongs to space group Cmmm (No. 65); the cell edges are 5.957, 8.570 and 3.077 Å and the angles 90.00°, 90.00° and 90.00°. Symmetry generates all atoms from Zr at (0.250, 0.250, 0.000), Ag at (0.000, 0.000, 0.500) and Hg at (0.000, 0.500, 0.500).


19.
# ZrAgHg2

Crystalline ZrAgHg2 at its relaxed geometry (PBEsol, the Alexandria database).

The calculation puts the total energy at -3.473 eV per atom. The calculation puts the size of the total moment at 0.001 μB per formula unit.

The structure belongs to space group P4mm (No. 99); the cell edges are 3.128, 3.128 and 8.122 Å and the angles 90.00°, 90.00° and 90.00°. Symmetry generates all atoms from Zr at (0.000, 0.000, 0.000), Ag at (0.500, 0.500, 0.241), Hg at (0.000, 0.000, 0.476) and Hg at (0.500, 0.500, 0.747).


20.
# ZrAgHg2

Crystalline ZrAgHg2 at its relaxed geometry (PBEsol, the Alexandria database).

The calculation puts the total energy at -3.456 eV per atom. The calculation puts the size of the total moment at 0.000 μB per formula unit.

The structure belongs to space group C2/m (No. 12); the cell edges are 9.350, 3.142 and 5.574 Å and the angles 90.00°, 101.30° and 90.00°. Symmetry generates all atoms from Zr at (0.000, 0.000, 0.000), Ag at (0.000, 0.500, 0.500) and Hg at (0.247, 0.000, 0.741).


Number 1: ΔH_f (0 K) 0.00 eV/atom. Number 2: ΔH_f (0 K) 0.01 eV/atom. Number 3: ΔH_f (0 K) 0.00 eV/atom. Number 4: ΔH_f (0 K) 0.01 eV/atom. Number 5: ΔH_f (0 K) -0.01 eV/atom. Number 6: ΔH_f (0 K) 0.00 eV/atom. Number 7: ΔH_f (0 K) 0.03 eV/atom. Number 8: ΔH_f (0 K) 0.00 eV/atom. Number 9: ΔH_f (0 K) 0.06 eV/atom. Number 10: ΔH_f (0 K) 0.01 eV/atom. Number 11: ΔH_f (0 K) 0.01 eV/atom. Number 12: ΔH_f (0 K) 0.02 eV/atom. Number 13: ΔH_f (0 K) 0.40 eV/atom. Number 14: ΔH_f (0 K) 0.02 eV/atom. Number 15: ΔH_f (0 K) 0.01 eV/atom. Number 16: ΔH_f (0 K) -0.18 eV/atom. Number 17: ΔH_f (0 K) -0.09 eV/atom. Number 18: ΔH_f (0 K) -0.18 eV/atom. Number 19: ΔH_f (0 K) -0.09 eV/atom. Number 20: ΔH_f (0 K) -0.07 eV/atom.